Record 1
Entry from Alexandria via LeMat-Bulk: a relaxed structure of RbSrCdHg (PBE).

a b c (Å): 5.940 5.940 5.940
angles (deg): 60.00 60.00 60.00
Atoms (fractional coordinates):
Hg1 0.250 0.250 0.250
Rb1 0.000 0.000 0.000
Cd1 0.750 0.750 0.750
Sr1 0.500 0.500 0.500

Summary:
Total magnetization in μB/f.u.: 0.00
Total DFT energy (no corrections) in eV/atom: -1.116
Energy of formation from the pure elements in eV/atom: -0.150

Record 2
Entry from Alexandria via LeMat-Bulk: a relaxed structure of RbCdHg2Te (PBE).

a b c (Å): 5.727 5.727 5.894
angles (deg): 90.00 90.00 90.00
Atoms (fractional coordinates):
Te1 0.000 0.000 0.500
Cd1 0.000 0.000 0.000
Hg1 0.000 0.500 0.000
Rb1 0.500 0.500 0.500
Hg2 0.500 0.000 0.000

Summary:
Total magnetization in μB/f.u.: 0.00
Total DFT energy (no corrections) in eV/atom: -1.408
ΔE_f (raw) in kcal/mol of atoms: -6.5

Record 3
Entry from Alexandria via LeMat-Bulk: a relaxed structure of RbTlCdHg2 (PBE).

a b c (Å): 5.031 5.031 7.519
angles (deg): 109.54 109.54 90.00
Atoms (fractional coordinates):
Cd1 0.250 0.750 0.500
Hg1 0.614 0.614 0.227
Rb1 0.000 0.000 0.000
Tl1 0.750 0.250 0.500
Hg2 0.386 0.386 0.773

Summary:
Total magnetization in μB/f.u.: 0.00
Total DFT energy (no corrections) in eV/atom: -1.101
Distance to the lowest polymorph of the same formula in meV per atom: 0
Energy of formation from the pure elements in eV/atom: -0.131

Record 4
Entry from Alexandria via LeMat-Bulk: a relaxed structure of RbTl4Cd2Hg (PBE).

a b c (Å): 5.310 5.310 11.205
angles (deg): 76.29 76.29 60.00
Atoms (fractional coordinates):
Cd1 0.756 0.756 0.731
Tl1 0.869 0.869 0.394
Cd2 0.244 0.244 0.269
Hg1 0.500 0.500 0.500
Tl2 0.404 0.404 0.789
Tl3 0.596 0.596 0.211
Tl4 0.131 0.131 0.606
Rb1 0.000 0.000 0.000

Summary:
Total magnetization in μB/f.u.: 0.00
Total DFT energy (no corrections) in eV/atom: -1.603
Energy of formation from the pure elements in eV/atom: -0.033

Record 5
Entry from Alexandria via LeMat-Bulk: a relaxed structure of Rb2TlCdHg (PBE).

a b c (Å): 6.979 6.979 5.690
angles (deg): 90.00 90.00 90.00
Atoms (fractional coordinates):
Tl1 0.000 0.000 0.500
Cd1 0.500 0.500 0.500
Hg1 0.000 0.000 0.000
Rb1 0.000 0.500 0.000
Rb2 0.500 0.000 0.000

Summary:
Total magnetization in μB/f.u.: 0.00
Total DFT energy (no corrections) in eV/atom: -1.030
Distance to the lowest polymorph of the same formula in meV per atom: 13
Energy of formation from the pure elements in eV/atom: 0.074

Record 6
Entry from Alexandria via LeMat-Bulk: a relaxed structure of Rb2TlCdHg (PBE).

a b c (Å): 7.090 7.090 5.657
angles (deg): 90.00 90.00 90.00
Atoms (fractional coordinates):
Rb1 0.500 0.000 0.000
Tl1 0.000 0.000 0.500
Hg1 0.500 0.500 0.500
Cd1 0.000 0.000 0.000
Rb2 0.000 0.500 0.000

Summary:
Total magnetization in μB/f.u.: 0.00
Total DFT energy (no corrections) in eV/atom: -1.043
Distance to the lowest polymorph of the same formula in meV per atom: 0
Energy of formation from the pure elements in eV/atom: 0.060

Record 7
Entry from Alexandria via LeMat-Bulk: a relaxed structure of RbTl2Cd2Hg2 (PBE).

a b c (Å): 5.053 5.053 10.760
angles (deg): 76.42 76.42 60.00
Atoms (fractional coordinates):
Hg1 0.594 0.594 0.218
Cd1 0.760 0.760 0.720
Hg2 0.406 0.406 0.782
Cd2 0.240 0.240 0.280
Rb1 0.000 0.000 0.000
Tl1 0.862 0.862 0.415
Tl2 0.138 0.138 0.585

Summary:
Total magnetization in μB/f.u.: 0.00
Total DFT energy (no corrections) in eV/atom: -1.220
Energy of formation from the pure elements in eV/atom: -0.058

Record 8
Entry from Alexandria via LeMat-Bulk: a relaxed structure of Rb2Tl3CdHg4 (PBE).

a b c (Å): 5.654 5.654 10.979
angles (deg): 90.00 90.00 90.00
Atoms (fractional coordinates):
Hg1 0.500 0.000 0.608
Hg2 0.000 0.500 0.392
Tl1 0.500 0.000 0.883
Tl2 0.000 0.000 0.500
Rb1 0.500 0.000 0.249
Cd1 0.500 0.500 0.500
Rb2 0.000 0.500 0.751
Hg3 0.000 0.000 0.000
Tl3 0.000 0.500 0.117
Hg4 0.500 0.500 0.000

Summary:
Total magnetization in μB/f.u.: 0.00
Total DFT energy (no corrections) in eV/atom: -1.235
Energy of formation from the pure elements in eV/atom: -0.120

Record 9
Entry from Alexandria via LeMat-Bulk: a relaxed structure of RbTl6CdHg (PBE).

a b c (Å): 8.709 10.744 9.571
angles (deg): 124.14 117.06 90.00
Atoms (fractional coordinates):
Rb1 0.695 0.445 0.390
Tl1 0.938 0.125 0.251
Tl2 0.404 0.154 0.808
Tl3 0.313 0.626 0.251
Tl4 0.993 0.243 0.985
Tl5 0.062 0.374 0.749
Tl6 0.007 0.757 0.015
Cd1 0.000 0.000 0.500
Tl7 0.313 0.125 0.251
Tl8 0.596 0.846 0.192
Rb2 0.305 0.555 0.610
Tl9 0.687 0.374 0.749
Hg1 0.500 0.000 0.000
Cd2 0.500 0.000 0.500
Tl10 0.062 0.875 0.749
Hg2 0.500 0.500 0.000
Tl11 0.687 0.875 0.749
Tl12 0.938 0.626 0.251

Summary:
Total magnetization in μB/f.u.: 0.00
Total DFT energy (no corrections) in eV/atom: -1.794
Energy of formation from the pure elements in eV/atom: 0.026

Record 10
Entry from Alexandria via LeMat-Bulk: a relaxed structure of Rb2TlCdHg6 (PBE).

a b c (Å): 8.249 8.249 7.705
angles (deg): 62.25 62.25 89.61
Atoms (fractional coordinates):
Rb1 0.750 0.250 0.500
Hg1 0.745 0.745 0.999
Hg2 0.255 0.745 0.000
Cd1 0.500 0.500 0.000
Hg3 0.745 0.255 0.000
Hg4 0.743 0.743 0.509
Hg5 0.255 0.255 0.001
Tl1 0.000 0.000 0.000
Rb2 0.250 0.750 0.500
Hg6 0.257 0.257 0.491

Summary:
Total magnetization in μB/f.u.: 0.00
Total DFT energy (no corrections) in eV/atom: -0.772
Energy of formation from the pure elements in eV/atom: -0.069

Record 11
Entry from Alexandria via LeMat-Bulk: a relaxed structure of RbTl2CdHg4 (PBE).

a b c (Å): 5.161 5.161 11.524
angles (deg): 77.06 77.06 60.00
Atoms (fractional coordinates):
Hg1 0.601 0.601 0.196
Tl1 0.237 0.237 0.290
Cd1 0.500 0.500 0.500
Hg2 0.865 0.865 0.406
Tl2 0.763 0.763 0.710
Hg3 0.399 0.399 0.804
Hg4 0.135 0.135 0.594
Rb1 0.000 0.000 0.000

Summary:
Total magnetization in μB/f.u.: 0.00
Total DFT energy (no corrections) in eV/atom: -1.070
Energy of formation from the pure elements in eV/atom: -0.092

Record 12
Entry from Alexandria via LeMat-Bulk: a relaxed structure of RbTlCdHg2 (PBE).

a b c (Å): 5.762 5.762 5.718
angles (deg): 90.00 90.00 90.00
Atoms (fractional coordinates):
Tl1 0.000 0.000 0.500
Rb1 0.500 0.500 0.500
Hg1 0.500 0.000 0.000
Cd1 0.000 0.000 0.000
Hg2 0.000 0.500 0.000

Summary:
Total magnetization in μB/f.u.: 0.00
Total DFT energy (no corrections) in eV/atom: -0.988
Distance to the lowest polymorph of the same formula in meV per atom: 113
Energy of formation from the pure elements in eV/atom: -0.018

> Look up the total DFT energy (no corrections) of the seventh one.

-1.220 eV/atom